Record 1
The following is a DFT calculation (GGA-PBE) of a geometry-optimized ReAs2OsSe structure.

The structure in CIF format:
```
data_ReAs2OsSe
_chemical_formula_sum 'Re1 As2 Os1 Se1'
_symmetry_space_group_name_H-M 'P 1'
_symmetry_Int_Tables_number 1
_cell_length_a 4.637
_cell_length_b 4.637
_cell_length_c 5.266
_cell_angle_alpha 90.00
_cell_angle_beta 90.00
_cell_angle_gamma 90.00
loop_
_symmetry_equiv_pos_as_xyz
'x,y,z'
loop_
_atom_site_label
_atom_site_fract_x
_atom_site_fract_y
_atom_site_fract_z
Se1 0.000 0.000 0.500
Os1 0.000 0.000 0.000
Re1 0.500 0.500 0.500
As1 0.500 0.000 0.000
As2 0.000 0.500 0.000
```

Summary:
**Crystal system**: tetragonal
**Excess energy over the best structure of this formula in the dataset**: 0 meV per atom
**Formation energy (no corrections)**: 1511.3 meV per atom


Record 2
The following is a DFT calculation (GGA-PBE) of a geometry-optimized PIrBr2 structure.

The structure in CIF format:
```
data_PIrBr2
_chemical_formula_sum 'P1 Ir1 Br2'
_symmetry_space_group_name_H-M 'P 1'
_symmetry_Int_Tables_number 1
_cell_length_a 8.289
_cell_length_b 8.289
_cell_length_c 8.289
_cell_angle_alpha 25.23
_cell_angle_beta 25.23
_cell_angle_gamma 25.23
loop_
_symmetry_equiv_pos_as_xyz
'x,y,z'
loop_
_atom_site_label
_atom_site_fract_x
_atom_site_fract_y
_atom_site_fract_z
Br1 0.977 0.977 0.977
Br2 0.523 0.523 0.523
Ir1 0.250 0.250 0.250
P1 0.750 0.750 0.750
```

Summary:
**Crystal system**: trigonal
**Excess energy over the best structure of this formula in the dataset**: 1328 meV per atom
**Formation energy (no corrections)**: 892.9 meV per atom


Record 3
The following is a DFT calculation (GGA-PBE) of a geometry-optimized Ce12Th3Cd structure.

The structure in CIF format:
```
data_Ce12Th3Cd
_chemical_formula_sum 'Ce12 Th3 Cd1'
_symmetry_space_group_name_H-M 'P 1'
_symmetry_Int_Tables_number 1
_cell_length_a 4.800
_cell_length_b 4.800
_cell_length_c 19.309
_cell_angle_alpha 90.00
_cell_angle_beta 90.00
_cell_angle_gamma 90.00
loop_
_symmetry_equiv_pos_as_xyz
'x,y,z'
loop_
_atom_site_label
_atom_site_fract_x
_atom_site_fract_y
_atom_site_fract_z
Ce1 0.500 0.500 0.252
Ce2 0.500 0.000 0.375
Ce3 0.500 0.500 0.748
Ce4 0.500 0.000 0.625
Ce5 0.500 0.500 0.500
Ce6 0.500 0.500 0.000
Th1 0.000 0.000 0.500
Ce7 0.000 0.500 0.375
Ce8 0.500 0.000 0.124
Th2 0.000 0.000 0.751
Ce9 0.000 0.500 0.876
Th3 0.000 0.000 0.249
Ce10 0.000 0.500 0.124
Cd1 0.000 0.000 0.000
Ce11 0.500 0.000 0.876
Ce12 0.000 0.500 0.625
```

Summary:
**Crystal system**: tetragonal
**ΔH_f (0 K)**: 0.01 eV/atom


Record 4
The following is a DFT calculation (GGA-PBE) of a geometry-optimized Er3Cu2Rh7 structure.

The structure in CIF format:
```
data_Er3Cu2Rh7
_chemical_formula_sum 'Er3 Cu2 Rh7'
_symmetry_space_group_name_H-M 'P 1'
_symmetry_Int_Tables_number 1
_cell_length_a 5.280
_cell_length_b 5.280
_cell_length_c 8.979
_cell_angle_alpha 72.90
_cell_angle_beta 72.90
_cell_angle_gamma 60.00
loop_
_symmetry_equiv_pos_as_xyz
'x,y,z'
loop_
_atom_site_label
_atom_site_fract_x
_atom_site_fract_y
_atom_site_fract_z
Rh1 0.415 0.415 0.248
Er1 0.860 0.860 0.421
Rh2 0.921 0.415 0.248
Er2 0.000 0.000 0.000
Rh3 0.585 0.079 0.752
Rh4 0.585 0.585 0.752
Rh5 0.415 0.921 0.248
Rh6 0.079 0.585 0.752
Cu1 0.334 0.334 0.998
Rh7 0.500 0.500 0.500
Cu2 0.666 0.666 0.002
Er3 0.140 0.140 0.579
```

Summary:
**Crystal system**: trigonal
**ΔH_f (0 K)**: -0.56 eV/atom


Let's list total moment in order: 0.67; 0.08; 0.24; 0.00 μB/atom.